# K2TlMoO4, optimized geometry, DFT PBE+U
# Uncorrected energy in eV/cell: -43.34
data_K2TlMoO4
_space_group_name_H-M_alt 'P 1'
_space_group_IT_number 1
_space_group_name_Hall 'P 1'
_cell_length_a 5.949
_cell_length_b 5.949
_cell_length_c 6.412
_cell_angle_alpha 114.19
_cell_angle_beta 114.19
_cell_angle_gamma 96.70
loop_
_atom_site_label
_atom_site_type_symbol
_atom_site_fract_x
_atom_site_fract_y
_atom_site_fract_z
_atom_site_occupancy
K1 K 0.756 0.256 0.512 1
K2 K 0.256 0.756 0.512 1
Tl1 Tl 0.026 0.026 0.053 1
Mo1 Mo 0.496 0.496 0.992 1
O1 O 0.598 0.598 0.793 1
O2 O 0.405 0.769 0.173 1
O3 O 0.769 0.405 0.173 1
O4 O 0.194 0.194 0.793 1